Entry 1:
Here is crystalline ZrGeAu2 at its relaxed geometry from OQMD. Energies are from PBE.

a b c (Å): 4.7327 4.7327 4.7327
angles (deg): 60.00 60.00 60.00
Last column: nearest neighbours and their distance in Å.
Sites, in units of the cell vectors:
1 Au 0.7500 0.7500 0.7500  4 Ge 2.90, 4 Au 2.90
2 Au 0.0000 0.0000 0.0000  4 Zr 2.90, 4 Au 2.90
3 Zr 0.2500 0.2500 0.2500  4 Au 2.90, 4 Ge 2.90
4 Ge 0.5000 0.5000 0.5000  4 Au 2.90, 4 Zr 2.90

Calculated values
* symmetry: F-43m, No. 216

***

Entry 2:
Here is crystalline Zr3Ge4Au4 at its relaxed geometry from OQMD. Energies are from PBE.

a b c (Å): 6.2439 6.2439 7.6277
angles (deg): 65.84 65.84 90.00
Last column: nearest neighbours and their distance in Å.
Sites, in units of the cell vectors:
1 Ge 0.2466 0.2466 0.5068  4 Au 2.65-2.81
2 Ge 0.5000 0.0000 0.0000  4 Au 2.67
3 Ge 0.7534 0.7534 0.4932  4 Au 2.65-2.81
4 Ge 0.0000 0.5000 0.0000  4 Au 2.67
5 Au 0.1219 0.6374 0.2406  4 Ge 2.65-2.81, 3 Zr 2.72-2.74
6 Au 0.8781 0.8781 0.7594  4 Ge 2.65-2.81, 3 Zr 2.72-2.74
7 Au 0.3626 0.3626 0.7594  4 Ge 2.65-2.81, 3 Zr 2.72-2.74
8 Au 0.6374 0.1219 0.2406  4 Ge 2.65-2.81, 3 Zr 2.72-2.74
9 Zr 0.5000 0.5000 0.0000  4 Au 2.72
10 Zr 0.2500 0.7500 0.5000  4 Au 2.74
11 Zr 0.7500 0.2500 0.5000  4 Au 2.74

Calculated values
* symmetry: I-42m, No. 121

***

Entry 3:
Here is crystalline Zr2GeAu at its relaxed geometry from OQMD. Energies are from PBE.

a b c (Å): 4.8476 4.8476 4.8476
angles (deg): 60.00 60.00 60.00
Last column: nearest neighbours and their distance in Å.
Sites, in units of the cell vectors:
1 Zr 0.0000 0.0000 0.0000  4 Zr 2.97, 4 Au 2.97
2 Zr 0.7500 0.7500 0.7500  4 Zr 2.97, 4 Ge 2.97
3 Ge 0.5000 0.5000 0.5000  4 Zr 2.97, 4 Au 2.97
4 Au 0.2500 0.2500 0.2500  4 Zr 2.97, 4 Ge 2.97

Calculated values
* symmetry: F-43m, No. 216

***

Number 1: total moment 0.00 μB per cell, E_tot -5.241 eV/atom. Number 2: total moment 0.00 μB per cell, E_tot -5.543 eV/atom. Number 3: total moment 1.74 μB per cell, E_tot -6.171 eV/atom.